Computed, not measured: a geometry-optimized LiSmHoCo structure at the GGA-PBE level of DFT.

Properties
- SG = No. 216
- calculated density (g cm⁻³) = 7.60
- calculated volume (Å³ per cell) = 83.3
- magnetization (Bohr magnetons per cell) = 0.0
- ΔE_f (eV per atom) = -0.043

abc: 4.902 4.902 4.902
angles: 60.00 60.00 60.00
Element x y z (fractional)
Li: 0.000 0.000 0.000
Co: 0.500 0.500 0.500
Ho: 0.750 0.750 0.750
Sm: 0.250 0.250 0.250